No. 1
VASP calculation (PBE) on a geometry-optimized AcGa2SiRu2 structure.

Cell lengths 4.4728, 4.4728, 5.9974 Å; angles 90.00, 90.00, 90.00 degrees
Last column: nearest neighbours and their distance in Å.
Space group P4/mmm (No. 123)
Inequivalent atoms, fractional coordinates:
1 Ac 0.0000 0.0000 0.0000 [1 per cell]  2 Si 3.00
2 Ga 0.5000 0.5000 0.2422 [2 per cell]  4 Ru 2.72, 1 Ga 2.90
3 Si 0.0000 0.0000 0.5000 [1 per cell]  4 Ru 2.24
4 Ru 0.0000 0.5000 0.5000 [2 per cell]  2 Si 2.24

Its crystal system is tetragonal. For the energy relative to the elements, uncorrected, the calculation gives -0.41 eV per atom. Its final energy is -6.10 eV per atom.



No. 2
VASP calculation (PBE) on a geometry-optimized Si2PAu structure.

Cell lengths 11.4110, 2.7170, 4.6135 Å; angles 90.00, 113.22, 90.00 degrees
Last column: nearest neighbours and their distance in Å.
Space group Cm (No. 8)
Inequivalent atoms, fractional coordinates:
1 Si 0.0000 0.0000 0.0000 [2 per cell]  4 Si 2.57-2.72, 4 P 2.77-2.81
2 Si 0.2081 0.5000 0.2103 [2 per cell]  4 Si 2.57-2.72, 2 P 2.65, 4 Au 2.68
3 P 0.4245 0.0000 0.4315 [2 per cell]  6 Si 2.65-2.81, 2 P 2.72
4 Au 0.2166 0.0000 0.7189 [2 per cell]  4 Si 2.68, 2 Au 2.72

Its crystal system is monoclinic. For the energy relative to the elements, uncorrected, the calculation gives 0.45 eV per atom. Its final energy is -4.44 eV per atom.



No. 3
VASP calculation (PBE) on a geometry-optimized Zr2VSiH structure.

Cell lengths 4.4620, 4.4620, 3.6663 Å; angles 90.00, 90.00, 90.00 degrees
Last column: nearest neighbours and their distance in Å.
Space group P4/mmm (No. 123)
Inequivalent atoms, fractional coordinates:
1 Zr 0.0000 0.5000 0.0000 [2 per cell]  2 H 2.23
2 V 0.0000 0.0000 0.5000 [1 per cell]  2 H 1.83
3 Si 0.5000 0.5000 0.5000 [1 per cell]  8 Zr 2.89, 4 V 3.16
4 H 0.0000 0.0000 0.0000 [1 per cell]  2 V 1.83

Its crystal system is tetragonal. Its final energy is -7.38 eV per atom.



No. 4
VASP calculation (PBE) on a geometry-optimized BeTeI2N structure.

Cell lengths 6.2034, 6.2034, 4.0005 Å; angles 90.00, 90.00, 90.00 degrees
Last column: nearest neighbours and their distance in Å.
Space group P4/mmm (No. 123)
Inequivalent atoms, fractional coordinates:
1 Be 0.0000 0.0000 0.0000 [1 per cell]  8 I 3.69, 2 Be 4.00
2 Te 0.5000 0.5000 0.5000 [1 per cell]  2 N 2.00
3 I 0.0000 0.5000 0.5000 [2 per cell]  2 Te 3.10
4 N 0.5000 0.5000 0.0000 [1 per cell]  2 Te 2.00

For the energy above the most stable polymorph in this dataset, the calculation gives 709 meV/atom. Its crystal system is tetragonal. For the energy relative to the elements, uncorrected, the calculation gives 1.17 eV per atom. Its final energy is -2.49 eV per atom.



No. 5
VASP calculation (PBE) on a geometry-optimized Tb2Al5Ge2 structure.

Cell lengths 5.7570, 15.4586, 8.0056 Å; angles 90.00, 90.00, 90.00 degrees
Last column: nearest neighbours and their distance in Å.
Space group Cmce (No. 64)
Inequivalent atoms, fractional coordinates:
1 Tb 0.0000 0.1159 0.0817 [8 per cell]  4 Ge 3.06-3.31, 8 Al 3.19-3.41
2 Al 0.0000 0.0000 0.5000 [4 per cell]  4 Al 2.58, 2 Ge 2.81
3 Al 0.2500 0.0497 0.7500 [8 per cell]  5 Al 2.58-2.88
4 Al 0.2500 0.2186 0.7500 [8 per cell]  3 Al 2.61-2.88, 4 Ge 2.68-2.83
5 Ge 0.0000 0.1802 0.4542 [8 per cell]  5 Al 2.68-2.83

The formation energy comes out at -374 meV/atom. Its crystal system is orthorhombic. Its final energy is -4.51 eV per atom.



No. 6
VASP calculation (PBE) on a geometry-optimized DyThSe structure.

Cell lengths 3.8754, 3.8754, 6.8045 Å; angles 90.00, 90.00, 120.00 degrees
Last column: nearest neighbours and their distance in Å.
Space group P3m1 (No. 156)
Inequivalent atoms, fractional coordinates:
1 Dy 0.0000 0.0000 0.0000 [1 per cell]  3 Se 2.90
2 Th 0.6667 0.3333 0.4293 [1 per cell]  3 Se 3.03
3 Se 0.3333 0.6667 0.7285 [1 per cell]  3 Dy 2.90, 3 Th 3.03

For the energy above the most stable polymorph in this dataset, the calculation gives 0 meV/atom. Its crystal system is trigonal. For the energy relative to the elements, uncorrected, the calculation gives -0.93 eV per atom. Its final energy is -6.10 eV per atom.



No. 7
VASP calculation (PBE) on a geometry-optimized CoSi2Rh structure.

Cell lengths 2.8319, 2.8319, 22.6075 Å; angles 90.00, 90.00, 120.00 degrees
Last column: nearest neighbours and their distance in Å.
Space group R3m (No. 160, hexagonal axes)
Inequivalent atoms, fractional coordinates:
1 Co 0.0000 0.0000 0.0000 [3 per cell]  3 Si 2.27
2 Si 0.0000 0.0000 0.2639 [3 per cell]  3 Co 2.27
3 Si 0.0000 0.0000 0.5068 [3 per cell]  3 Rh 2.39, 3 Si 2.62
4 Rh 0.0000 0.0000 0.7630 [3 per cell]  3 Si 2.39

For the energy above the most stable polymorph in this dataset, the calculation gives 448 meV/atom. Its crystal system is trigonal. For the energy relative to the elements, uncorrected, the calculation gives -0.14 eV per atom. Its final energy is -6.46 eV per atom.



No. 8
VASP calculation (PBE) on a geometry-optimized Mn4SbPt structure.

Cell lengths 6.9631, 6.9631, 6.9631 Å; angles 90.00, 90.00, 90.00 degrees
Last column: nearest neighbours and their distance in Å.
Space group F-43m (No. 216)
Inequivalent atoms, fractional coordinates:
1 Mn 0.1249 0.1249 0.1249 [16 per cell]  6 Mn 2.46
2 Sb 0.2500 0.2500 0.7500 [4 per cell]  12 Mn 2.89, 4 Pt 3.02
3 Pt 0.0000 0.0000 0.5000 [4 per cell]  12 Mn 2.89, 4 Sb 3.02

Its crystal system is cubic. For the energy relative to the elements, uncorrected, the calculation gives 0.23 eV per atom. Its final energy is -7.57 eV per atom.



No. 9
VASP calculation (PBE) on a geometry-optimized NaScSnCl6 structure.

Cell lengths 6.8504, 6.8504, 12.1238 Å; angles 90.00, 90.00, 120.00 degrees
Last column: nearest neighbours and their distance in Å.
Space group P-31c (No. 163)
Inequivalent atoms, fractional coordinates:
1 Na 0.3333 0.6667 0.2500 [2 per cell]  6 Cl 2.80
2 Sc 0.3333 0.6667 0.7500 [2 per cell]  6 Cl 2.51
3 Sn 0.0000 0.0000 0.0000 [2 per cell]  6 Cl 2.88
4 Cl 0.0324 0.3664 0.6311 [12 per cell]  1 Sc 2.51, 1 Na 2.80

Its crystal system is trigonal. For the energy relative to the elements, uncorrected, the calculation gives -1.66 eV per atom. Its final energy is -4.19 eV per atom.



No. 10
VASP calculation (PBE) on a geometry-optimized Sc3PH3 structure.

Cell lengths 6.0621, 6.0621, 17.5254 Å; angles 90.00, 90.00, 120.00 degrees
Last column: nearest neighbours and their distance in Å.
Space group R-3 (No. 148, hexagonal axes)
Inequivalent atoms, fractional coordinates:
1 Sc 0.0015 0.3327 0.2577 [18 per cell]  4 H 2.04-2.12
2 P 0.0000 0.0000 0.1662 [6 per cell]  6 Sc 2.57-2.58
3 H 0.0013 0.3316 0.0405 [18 per cell]  4 Sc 2.04-2.12

Its crystal system is trigonal. Its final energy is -5.76 eV per atom.



No. 11
VASP calculation (PBE) on a geometry-optimized SrYMg2 structure.

Cell lengths 7.9038, 7.9038, 7.9038 Å; angles 90.00, 90.00, 90.00 degrees
Last column: nearest neighbours and their distance in Å.
Space group F-43m (No. 216)
Inequivalent atoms, fractional coordinates:
1 Sr 0.0000 0.0000 0.0000 [4 per cell]  4 Mg 3.42, 4 Y 3.42
2 Y 0.2500 0.2500 0.2500 [4 per cell]  4 Mg 3.42, 4 Sr 3.42
3 Mg 0.0000 0.0000 0.5000 [4 per cell]  4 Mg 3.42, 4 Y 3.42
4 Mg 0.2500 0.2500 0.7500 [4 per cell]  4 Mg 3.42, 4 Sr 3.42

The formation energy comes out at 143 meV/atom. For the energy above the most stable polymorph in this dataset, the calculation gives 202 meV/atom. Its crystal system is cubic. Its final energy is -2.69 eV per atom.



No. 12
VASP calculation (PBE) on a geometry-optimized LiZr2P structure.

Cell lengths 3.6254, 3.6254, 21.6115 Å; angles 90.00, 90.00, 120.00 degrees
Last column: nearest neighbours and their distance in Å.
Space group R-3m (No. 166, hexagonal axes)
Inequivalent atoms, fractional coordinates:
1 Li 0.0000 0.0000 0.0000 [3 per cell]  6 Zr 2.99
2 Zr 0.0000 0.0000 0.2344 [6 per cell]  3 P 2.55
3 P 0.0000 0.0000 0.5000 [3 per cell]  6 Zr 2.55

The formation energy comes out at -503 meV/atom. Its crystal system is trigonal. Its final energy is -6.61 eV per atom.